# FePIr2 (PBE, relaxed)
data_FePIr2
_chemical_formula_sum 'Fe1 P1 Ir2'
_symmetry_space_group_name_H-M 'P 1'
_symmetry_Int_Tables_number 1
_cell_length_a 4.711
_cell_length_b 4.711
_cell_length_c 4.711
_cell_angle_alpha 133.72
_cell_angle_beta 133.72
_cell_angle_gamma 67.52
loop_
_symmetry_equiv_pos_as_xyz
'x,y,z'
loop_
_atom_site_label
_atom_site_fract_x
_atom_site_fract_y
_atom_site_fract_z
Fe1 0.750 0.250 0.500
Ir1 0.000 0.000 0.000
Ir2 0.250 0.750 0.500
P1 0.500 0.500 0.000
# **Final energy**: -30.90 eV per formula unit
# **Space-group type**: No. 119